[1]
Below is crystalline NiP2H at its relaxed geometry, with properties calculated at the GGA-PBE level.

```
NiP2H
1.0
-1.7122 -0.0397 3.5054
-0.2721 3.2923 2.0754
-3.4703 1.7125 0.4954
P Ni H
2 1 1
Cartesian
-1.3636 1.2413 1.5191
-4.0909 3.7238 4.5572
-2.7273 2.4826 3.0381
0.0000 0.0000 0.0000
```

Calculated values
As for the magnetization: 0.000 μB/f.u. As for the polymorph energy (0 for the lowest one): 7 meV per atom.

***

[2]
Below is crystalline Ac4Ho3ErBi8 at its relaxed geometry, with properties calculated at the GGA-PBE level.

```
Ac4Ho3ErBi8
1.0
9.3497 0.0000 0.0000
0.0000 9.3321 -0.0198
-4.6749 -4.6719 6.6134
Ac Bi Er Ho
4 8 1 3
Cartesian
4.6749 0.0000 0.0000
2.3374 -2.3360 3.3067
-2.3374 -2.3360 3.3067
0.0000 0.0000 0.0000
0.0000 4.5125 3.1829
2.3339 2.4869 0.1011
2.3410 2.1733 6.4925
0.0000 0.1472 3.4079
4.6749 4.5129 3.1857
7.0158 2.4869 0.1011
4.6749 0.1477 3.4106
-2.3410 2.1733 6.4925
0.0000 4.6660 -0.0099
-2.3374 2.3301 3.2968
4.6749 4.6660 -0.0099
2.3374 2.3301 3.2968
```

Calculated values
The value obtained for the total energy is -5.0097 eV per atom. As for the magnetization: 0.000 μB/f.u.

***

[3]
Below is crystalline HoHf3Al8 at its relaxed geometry, with properties calculated at the GGA-PBE level.

```
HoHf3Al8
1.0
-0.4661 1.7134 -5.0064
4.2538 -2.8301 1.4535
-4.2189 -7.4486 -2.1564
Al Ho Hf
8 1 3
Cartesian
2.6735 -1.3280 -0.7034
2.4488 -3.9218 -0.1277
0.5765 -5.0304 -1.7752
-1.3148 -6.1705 -3.4331
-1.5421 -5.3349 -5.8746
0.2714 -2.4731 -0.8717
-3.3893 -4.7902 -4.1419
2.2102 -3.0448 -2.6902
-2.3834 -4.2079 -1.2182
-0.6926 -2.9787 -3.7730
0.8301 -0.2905 -2.9948
-3.9540 -6.9809 -2.0210
```

Calculated values
As for the magnetization: 0.000 μB/f.u. As for the polymorph energy (0 for the lowest one): 6 meV per atom.

***

[4]
Below is crystalline MgAl3SiBO9 at its relaxed geometry, with properties calculated at the GGA-PBE level.

```
MgAl3SiBO9
1.0
-5.3743 0.2615 -2.2291
2.6676 -6.9934 -7.2521
-3.1952 -8.2088 6.7407
O B Al Mg Si
36 4 12 4 4
Cartesian
-3.3948 -8.8276 -0.1158
-3.7188 -0.6802 -2.5267
-2.4845 -3.2466 1.8050
-0.6241 -4.6431 -5.9490
-3.4175 -11.6941 -4.5455
0.3402 -9.8217 -2.6725
-1.7530 -6.1561 -7.9088
-2.8098 -13.6126 -2.7749
-4.4837 -11.6946 -1.9748
-7.4708 -10.1910 2.2991
-6.2422 -5.1190 -0.0680
-0.4534 -3.9240 -3.1715
-5.2543 -13.4937 -3.7887
-5.2779 -10.2977 3.2086
-2.5072 -6.1131 -2.6246
-2.8951 -10.4631 1.9482
-4.9517 -5.9942 -3.6384
-1.8526 -9.7150 -3.5820
-3.0069 -4.4776 -4.6887
-2.1832 -14.2605 -0.2137
-1.2729 -8.3541 -1.7154
-0.6477 -1.4470 1.0483
-3.1355 -5.1853 3.1472
-3.0179 -7.2446 -4.9868
-4.0494 -5.2257 0.8415
-5.4486 -11.0167 0.4311
-4.0515 -8.4230 -2.6330
-1.8505 -6.5177 -0.1074
-2.7665 -9.7554 -5.8876
-4.1490 -8.7846 5.1684
-4.6291 -6.5866 -1.0250
-3.0922 -1.3281 0.0345
-2.8841 -7.6961 2.2464
-0.9503 -8.9465 0.8980
-1.4183 -3.2461 -0.7657
1.5688 -4.7498 -5.0395
-2.5395 -13.3782 0.7488
-3.3625 -1.5625 -3.4893
-0.9366 -9.2877 -2.6359
-4.9654 -5.6530 -0.1045
-1.3534 -3.3659 -4.7406
-0.7792 -2.2749 -2.1925
-0.2638 -7.6011 -0.2557
-5.1228 -12.6658 -0.5479
1.3338 -3.4967 -3.6260
-3.3986 -8.8932 -4.2623
0.0000 0.0000 0.0000
-4.2848 -3.9737 2.2558
-2.5034 -6.0475 1.5219
-2.6872 0.1308 -1.1145
-1.5976 -4.1044 3.3704
-2.9510 -7.4704 -1.3702
-2.3089 -7.9551 -6.7796
-4.7503 -9.8475 -1.1154
-1.1517 -5.0932 -1.6250
-3.5931 -6.9857 4.0392
-3.3616 -5.9309 -4.0040
-3.9810 -12.5998 -3.2930
-1.9210 -2.3409 0.5526
-2.5404 -9.0098 1.2636
```

Calculated values
The raw formation energy is -43.4 eV/f.u. As for the magnetization: 0.000 μB/f.u.